DFT (PBE) results for a relaxed LaCrAs2Br crystal. Values from VASP.

Calculated values
size of the total moment	2.8	μB/f.u.
VASP energy	-0.20689	hartree per atom
SG	P4/mmm
formation energy without anion corrections	-525	meV/atom

Quantum ESPRESSO input file:
```
&SYSTEM
  ibrav = 0, nat = 5, ntyp = 4
/
ATOMIC_SPECIES
La 138.91 La.upf
Cr 52.00 Cr.upf
As 74.92 As.upf
Br 79.90 Br.upf
ATOMIC_POSITIONS crystal
La 0.0000 0.0000 0.0000
Cr 0.5000 0.5000 0.5000
As 0.0000 0.5000 0.5000
As 0.5000 0.0000 0.5000
Br 0.5000 0.5000 0.0000
CELL_PARAMETERS angstrom
4.8132 0.0000 0.0000
0.0000 4.8132 0.0000
0.0000 0.0000 5.1117
```

---

DFT (PBE) results for a relaxed LaCrAs2Br crystal. Values from VASP.

Calculated values
size of the total moment	3.8	μB/f.u.
VASP energy	-0.17320	hartree per atom
SG	P4/mmm
formation energy without anion corrections	392	meV/atom

Quantum ESPRESSO input file:
```
&SYSTEM
  ibrav = 0, nat = 5, ntyp = 4
/
ATOMIC_SPECIES
La 138.91 La.upf
Cr 52.00 Cr.upf
As 74.92 As.upf
Br 79.90 Br.upf
ATOMIC_POSITIONS crystal
La 0.0000 0.0000 0.0000
Cr 0.5000 0.5000 0.5000
As 0.0000 0.5000 0.0000
As 0.5000 0.0000 0.0000
Br 0.0000 0.0000 0.5000
CELL_PARAMETERS angstrom
5.7601 0.0000 0.0000
0.0000 5.7601 0.0000
0.0000 0.0000 5.7153
```

---

DFT (PBE) results for a relaxed LaCrAsBr2 crystal. Values from VASP.

Calculated values
size of the total moment	4.0	μB/f.u.
VASP energy	-0.17407	hartree per atom
SG	P4/mmm
formation energy without anion corrections	-227	meV/atom

Quantum ESPRESSO input file:
```
&SYSTEM
  ibrav = 0, nat = 5, ntyp = 4
/
ATOMIC_SPECIES
La 138.91 La.upf
Cr 52.00 Cr.upf
As 74.92 As.upf
Br 79.90 Br.upf
ATOMIC_POSITIONS crystal
La 0.0000 0.0000 0.0000
Cr 0.5000 0.5000 0.5000
As 0.0000 0.0000 0.5000
Br 0.0000 0.5000 0.0000
Br 0.5000 0.0000 0.0000
CELL_PARAMETERS angstrom
5.7448 0.0000 0.0000
0.0000 5.7448 0.0000
0.0000 0.0000 6.0244
```

---

DFT (PBE) results for a relaxed LiCrAsBr2 crystal. Values from VASP.

Calculated values
size of the total moment	2.0	μB/f.u.
VASP energy	-0.15403	hartree per atom
SG	P4/mmm
formation energy without anion corrections	-285	meV/atom

Quantum ESPRESSO input file:
```
&SYSTEM
  ibrav = 0, nat = 5, ntyp = 4
/
ATOMIC_SPECIES
Li 6.94 Li.upf
Cr 52.00 Cr.upf
As 74.92 As.upf
Br 79.90 Br.upf
ATOMIC_POSITIONS crystal
Li 0.0000 0.0000 0.0000
Cr 0.5000 0.5000 0.5000
As 0.5000 0.5000 0.0000
Br 0.0000 0.5000 0.5000
Br 0.5000 0.0000 0.5000
CELL_PARAMETERS angstrom
5.3359 0.0000 0.0000
0.0000 5.3359 0.0000
0.0000 0.0000 4.7186
```

---

DFT (PBE) results for a relaxed LiCrAs2Br crystal. Values from VASP.

Calculated values
size of the total moment	1.7	μB/f.u.
VASP energy	-0.16800	hartree per atom
SG	P4/mmm
formation energy without anion corrections	-70	meV/atom

Quantum ESPRESSO input file:
```
&SYSTEM
  ibrav = 0, nat = 5, ntyp = 4
/
ATOMIC_SPECIES
Li 6.94 Li.upf
Cr 52.00 Cr.upf
As 74.92 As.upf
Br 79.90 Br.upf
ATOMIC_POSITIONS crystal
Li 0.0000 0.0000 0.0000
Cr 0.5000 0.5000 0.5000
As 0.0000 0.5000 0.5000
As 0.5000 0.0000 0.5000
Br 0.5000 0.5000 0.0000
CELL_PARAMETERS angstrom
4.5914 0.0000 0.0000
0.0000 4.5914 0.0000
0.0000 0.0000 5.8381
```

---

DFT (PBE) results for a relaxed MgCrAs2Br crystal. Values from VASP.

Calculated values
size of the total moment	1.6	μB/f.u.
VASP energy	-0.15875	hartree per atom
SG	P4/mmm
formation energy without anion corrections	118	meV/atom

Quantum ESPRESSO input file:
```
&SYSTEM
  ibrav = 0, nat = 5, ntyp = 4
/
ATOMIC_SPECIES
Mg 24.30 Mg.upf
Cr 52.00 Cr.upf
As 74.92 As.upf
Br 79.90 Br.upf
ATOMIC_POSITIONS crystal
Mg 0.0000 0.0000 0.0000
Cr 0.5000 0.5000 0.5000
As 0.0000 0.5000 0.5000
As 0.5000 0.0000 0.5000
Br 0.5000 0.5000 0.0000
CELL_PARAMETERS angstrom
4.6550 0.0000 0.0000
0.0000 4.6550 0.0000
0.0000 0.0000 5.4620
```

---

DFT (PBE) results for a relaxed MgCrAsBr2 crystal. Values from VASP.

Calculated values
size of the total moment	2.8	μB/f.u.
VASP energy	-0.14415	hartree per atom
SG	P4/mmm
formation energy without anion corrections	-80	meV/atom

Quantum ESPRESSO input file:
```
&SYSTEM
  ibrav = 0, nat = 5, ntyp = 4
/
ATOMIC_SPECIES
Mg 24.30 Mg.upf
Cr 52.00 Cr.upf
As 74.92 As.upf
Br 79.90 Br.upf
ATOMIC_POSITIONS crystal
Mg 0.0000 0.0000 0.0000
Cr 0.5000 0.5000 0.5000
As 0.5000 0.5000 0.0000
Br 0.0000 0.5000 0.5000
Br 0.5000 0.0000 0.5000
CELL_PARAMETERS angstrom
5.1091 0.0000 0.0000
0.0000 5.1091 0.0000
0.0000 0.0000 4.9576
```

---

DFT (PBE) results for a relaxed MnCrAsBr2 crystal. Values from VASP.

Calculated values
size of the total moment	8.0	μB/f.u.
VASP energy	-0.18586	hartree per atom
SG	P4/mmm
formation energy without anion corrections	300	meV/atom

Quantum ESPRESSO input file:
```
&SYSTEM
  ibrav = 0, nat = 5, ntyp = 4
/
ATOMIC_SPECIES
Mn 54.94 Mn.upf
Cr 52.00 Cr.upf
As 74.92 As.upf
Br 79.90 Br.upf
ATOMIC_POSITIONS crystal
Mn 0.0000 0.0000 0.0000
Cr 0.5000 0.5000 0.5000
As 0.5000 0.5000 0.0000
Br 0.0000 0.5000 0.5000
Br 0.5000 0.0000 0.5000
CELL_PARAMETERS angstrom
5.0730 0.0000 0.0000
0.0000 5.0730 0.0000
0.0000 0.0000 4.9660
```